Model P:
Entry from Alexandria via LeMat-Bulk: a relaxed Ta2CdP crystal (GGA-PBEsol).

Properties
Size of the total moment ... 0.00 μB/f.u.
Space group ... P4mm

a b c (Å): 2.8680 2.8680 8.6476
angles (deg): 90.00 90.00 90.00
Last column: nearest neighbours and their distance in Å.
Fractional coordinates of all 4 atoms:
Ta (0.0000, 0.0000, 0.0000)  4 P 2.64, 4 Ta 2.87
Ta (0.5000, 0.5000, 0.2595)  8 Ta 2.87-3.02, 4 Cd 3.04
Cd (0.0000, 0.0000, 0.5215)  4 Cd 2.87, 4 Ta 3.04, 4 P 3.18
P (0.5000, 0.5000, 0.8041)  4 Ta 2.64, 4 P 2.87

---

Model Q:
Entry from Alexandria via LeMat-Bulk: a relaxed Ta2CdP crystal (GGA-PBEsol).

Properties
Size of the total moment ... 0.00 μB/f.u.
Space group ... C2/m

a b c (Å): 5.7879 8.4320 2.8717
angles (deg): 90.00 106.99 90.00
Last column: nearest neighbours and their distance in Å.
Fractional coordinates of all 8 atoms:
Ta (0.2500, 0.2500, 0.0000)  2 Cd 2.72, 2 P 2.72, 4 Ta 2.87-2.89
Ta (0.2500, 0.7500, 0.0000)  2 P 2.72, 2 Cd 2.72, 4 Ta 2.87-2.89
Ta (0.7500, 0.2500, 0.0000)  2 Cd 2.72, 2 P 2.72, 4 Ta 2.87-2.89
Ta (0.7500, 0.7500, 0.0000)  2 Cd 2.72, 2 P 2.72, 4 Ta 2.87-2.89
Cd (0.0000, 0.0000, 0.5000)  4 Ta 2.72, 2 Cd 2.87, 2 P 2.89
Cd (0.5000, 0.5000, 0.5000)  4 Ta 2.72, 2 Cd 2.87, 2 P 2.89
P (0.0000, 0.5000, 0.5000)  4 Ta 2.72, 2 P 2.87, 2 Cd 2.89
P (0.5000, 0.0000, 0.5000)  4 Ta 2.72, 2 P 2.87, 2 Cd 2.89

---

Which one is most stable, and which one is least stable? model P is the most stable of them, while model Q is the least stable.

---

Model P:
Entry from Alexandria via LeMat-Bulk: a relaxed Ta2CdP crystal (GGA-PBEsol).

Properties
Size of the total moment ... 0.00 μB/f.u.
Space group ... F-43m

a b c (Å): 6.4976 6.4976 6.4976
angles (deg): 90.00 90.00 90.00
Last column: nearest neighbours and their distance in Å.
Fractional coordinates of all 16 atoms:
Ta (0.0000, 0.0000, 0.0000)  4 Ta 2.81, 4 P 2.81
Ta (0.0000, 0.5000, 0.5000)  4 Ta 2.81, 4 P 2.81
Ta (0.2500, 0.2500, 0.2500)  4 Cd 2.81, 4 Ta 2.81
Ta (0.2500, 0.7500, 0.7500)  4 Cd 2.81, 4 Ta 2.81
Ta (0.5000, 0.0000, 0.5000)  4 Ta 2.81, 4 P 2.81
Ta (0.5000, 0.5000, 0.0000)  4 Ta 2.81, 4 P 2.81
Ta (0.7500, 0.2500, 0.7500)  4 Cd 2.81, 4 Ta 2.81
Ta (0.7500, 0.7500, 0.2500)  4 Cd 2.81, 4 Ta 2.81
Cd (0.0000, 0.0000, 0.5000)  4 Ta 2.81, 4 P 2.81
Cd (0.0000, 0.5000, 0.0000)  4 Ta 2.81, 4 P 2.81
Cd (0.5000, 0.0000, 0.0000)  4 Ta 2.81, 4 P 2.81
Cd (0.5000, 0.5000, 0.5000)  4 Ta 2.81, 4 P 2.81
P (0.2500, 0.2500, 0.7500)  4 Cd 2.81, 4 Ta 2.81
P (0.2500, 0.7500, 0.2500)  4 Cd 2.81, 4 Ta 2.81
P (0.7500, 0.2500, 0.2500)  4 Cd 2.81, 4 Ta 2.81
P (0.7500, 0.7500, 0.7500)  4 Cd 2.81, 4 Ta 2.81

---

Model Q:
Entry from Alexandria via LeMat-Bulk: a relaxed Ta2CdP crystal (GGA-PBEsol).

Properties
Size of the total moment ... 0.00 μB/f.u.
Space group ... Cmm2

a b c (Å): 3.5173 4.6221 8.8450
angles (deg): 90.00 90.00 90.00
Last column: nearest neighbours and their distance in Å.
Fractional coordinates of all 8 atoms:
Ta (0.0000, 0.0000, 0.0000)  2 P 2.48
Ta (0.0000, 0.5000, 0.2466)  6 Ta 2.80-2.90, 2 Cd 2.90
Ta (0.5000, 0.0000, 0.2466)  6 Ta 2.80-2.90, 2 Cd 2.90
Ta (0.5000, 0.5000, 0.0000)  2 P 2.48
Cd (0.0000, 0.0000, 0.5075)  2 Ta 2.90, 4 Cd 2.90, 2 P 3.14
Cd (0.5000, 0.5000, 0.5075)  2 Ta 2.90, 4 Cd 2.90, 2 P 3.14
P (0.0000, 0.5000, 0.8021)  2 Ta 2.48
P (0.5000, 0.0000, 0.8021)  2 Ta 2.48

---

Which one is most stable, and which one is least stable? model Q is the most stable of them, while model P is the least stable.

---

Model P:
Entry from Alexandria via LeMat-Bulk: a relaxed CdTe2P crystal (GGA-PBEsol).

Properties
Size of the total moment ... 0.00 μB/f.u.
Space group ... P4mm

a b c (Å): 4.1347 4.1347 5.9390
angles (deg): 90.00 90.00 90.00
Last column: nearest neighbours and their distance in Å.
Fractional coordinates of all 4 atoms:
Cd (0.0000, 0.0000, 0.0000)  6 Te 2.84-3.10
Te (0.0000, 0.0000, 0.5225)  2 Cd 2.84-3.10, 4 P 2.93
Te (0.5000, 0.5000, 0.0756)  1 P 2.53
P (0.5000, 0.5000, 0.5012)  1 Te 2.53

---

Model Q:
Entry from Alexandria via LeMat-Bulk: a relaxed CdTe2P crystal (GGA-PBEsol).

Properties
Size of the total moment ... 0.00 μB/f.u.
Space group ... I-42d

a b c (Å): 5.7729 5.7729 14.9505
angles (deg): 90.00 90.00 90.00
Last column: nearest neighbours and their distance in Å.
Fractional coordinates of all 16 atoms:
Cd (0.0000, 0.0000, 0.0000)  4 Te 2.87
Cd (0.0000, 0.5000, 0.2500)  4 Te 2.87
Cd (0.5000, 0.0000, 0.7500)  4 Te 2.87
Cd (0.5000, 0.5000, 0.5000)  4 Te 2.87
Te (0.2159, 0.2500, 0.6250)  2 P 2.67, 2 Cd 2.87
Te (0.2500, 0.7159, 0.8750)  2 P 2.67, 2 Cd 2.87
Te (0.2500, 0.7841, 0.3750)  2 P 2.67, 2 Cd 2.87
Te (0.2841, 0.2500, 0.1250)  2 P 2.67, 2 Cd 2.87
Te (0.7159, 0.7500, 0.1250)  2 P 2.67, 2 Cd 2.87
Te (0.7500, 0.2159, 0.3750)  2 P 2.67, 2 Cd 2.87
Te (0.7500, 0.2841, 0.8750)  2 P 2.67, 2 Cd 2.87
Te (0.7841, 0.7500, 0.6250)  2 P 2.67, 2 Cd 2.87
P (0.0000, 0.0000, 0.5000)  4 Te 2.67
P (0.0000, 0.5000, 0.7500)  4 Te 2.67
P (0.5000, 0.0000, 0.2500)  4 Te 2.67
P (0.5000, 0.5000, 0.0000)  4 Te 2.67

---

Which one is most stable, and which one is least stable? model P is the most stable of them, while model Q is the least stable.